{
  "formula": "YB2C",
  "functional": "GGA-PBE",
  "state": "optimized geometry",
  "lattice": [[3.605, 0.000, 0.000], [0.000, 3.605, 0.000], [1.802, 1.802, 6.612]],
  "species": ["C", "C", "B", "B", "B", "Y", "B", "Y"],
  "frac_coords": [[0.500, 0.500, 0.000], [0.250, 0.750, 0.500], [0.875, 0.625, 0.750], [0.375, 0.625, 0.750], [0.375, 0.125, 0.250], [0.750, 0.250, 0.500], [0.375, 0.625, 0.250], [0.000, 0.000, 0.000]],
  "total_magnetization_mub_per_atom": 0.0000,
  "delta_e_f_ev_per_atom": 0.23,
  "energy_ev_per_atom": -7.031
}